No. 1
# NdPI

An optimized crystal structure of NdPI (PBE-GGA, Alexandria).

Calculated values
Final energy: -28.35 eV per cell
E_form (uncorrected): -0.816 eV/atom
Offset from the most stable computed form: 0.4107 eV per atom
Total moment: 0.4 μB per formula unit

Cell: 3.9557 3.9557 11.3110 Å, 90.00 90.00 90.00°
Space group I4mm (No. 107)
One atom of each set of equivalent atoms:
1 Nd 0.0000 0.0000 0.0000 (multiplicity 2)
2 P 0.0000 0.0000 0.5724 (multiplicity 2)
3 I 0.0000 0.0000 0.3051 (multiplicity 2)

---

No. 2
# Nd4P2I

An optimized crystal structure of Nd4P2I (PBE-GGA, Alexandria).

Calculated values
Final energy: -119.12 eV per cell
E_form (uncorrected): -1.181 eV/atom
Total moment: 0.4 μB per formula unit

Cell: 4.1424 4.1424 43.2837 Å, 90.00 90.00 120.00°
Space group R-3m (No. 166, hexagonal axes)
One atom of each set of equivalent atoms:
1 Nd 0.0000 0.0000 0.1271 (multiplicity 6)
2 Nd 0.0000 0.0000 0.2772 (multiplicity 6)
3 P 0.0000 0.0000 0.4239 (multiplicity 6)
4 I 0.0000 0.0000 0.0000 (multiplicity 3)